Record 1
Compound: AlReAu
Source: the Alexandria database
Functional: PBE
Structure: optimized geometry

a = 4.197 Å, b = 4.197 Å, c = 4.197 Å
α = 60.00°, β = 60.00°, γ = 60.00°
Sites, in units of the cell vectors:
1 Re 0.500 0.500 0.500
2 Au 0.000 0.000 0.000
3 Al 0.750 0.750 0.750

Size of the total moment   0.001 μB per formula unit
E above lowest polymorph   801 meV per atom
DFT formation energy   541 meV/atom
Space group   F-43m


Record 2
Compound: LiCaSi
Source: the Alexandria database
Functional: PBE
Structure: optimized geometry

a = 5.126 Å, b = 5.126 Å, c = 5.126 Å
α = 142.34°, β = 128.35°, γ = 65.66°
Sites, in units of the cell vectors:
1 Ca 0.009 0.009 0.000
2 Li 0.329 0.329 0.000
3 Si 0.662 0.662 0.000

Size of the total moment   0.000 μB per formula unit
Formation energy from raw total energies   -15 kJ/mol of atoms
Space group   Imm2